[1]
Cr2MoRh: PBEsol geometry, SCAN.

abc: 2.5930 2.5930 8.1373
angles: 90.00 90.00 109.23
Closest atoms and distances in Å follow each position.
Sites, in units of the cell vectors:
Cr1 0.5000 0.5000 0.7653  6 Cr 2.36-2.59, 2 Mo 2.57
Mo1 0.0000 0.0000 0.5087  2 Cr 2.57, 4 Mo 2.59, 2 Rh 2.67
Cr2 0.0000 0.0000 0.9891  6 Cr 2.36-2.59, 2 Rh 2.51
Rh1 0.5000 0.5000 0.2369  2 Cr 2.51, 4 Rh 2.59, 2 Mo 2.67

Values from the calculation:
As for the density of states at the Fermi level: 0.91 states/eV per atom. The space group is Cmm2 (35). The energy of formation from the pure elements is 129 meV per atom.

***

[2]
MgSc2: PBEsol geometry, SCAN.

abc: 3.2530 3.2530 6.9922
angles: 103.45 103.45 90.00
Closest atoms and distances in Å follow each position.
Sites, in units of the cell vectors:
Sc1 0.8322 0.8322 0.6644  8 Sc 3.16-3.25, 4 Mg 3.19
Mg1 0.5000 0.5000 0.0000  8 Sc 3.19, 4 Mg 3.25
Sc2 0.1678 0.1678 0.3356  8 Sc 3.16-3.25, 4 Mg 3.19

Values from the calculation:
As for the density of states at the Fermi level: 0.57 states/eV per atom. The space group is I4/mmm (139). The energy of formation from the pure elements is -54 meV per atom.

***

[3]
NbAsIr2: PBEsol geometry, SCAN.

abc: 5.6045 5.6045 6.8038
angles: 114.32 114.32 90.00
Closest atoms and distances in Å follow each position.
Sites, in units of the cell vectors:
As1 0.5000 0.5000 0.0000  4 Ir 2.35
Nb1 0.0000 0.0000 0.0000  4 Ir 2.48
Ir1 0.1250 0.1456 0.7500  2 As 2.35, 2 Nb 2.48
Nb2 0.2500 0.7500 0.5000  4 Ir 2.48
Ir2 0.3956 0.8750 0.2500  2 As 2.35, 2 Nb 2.48
As2 0.7500 0.2500 0.5000  4 Ir 2.35
Ir3 0.8544 0.3750 0.2500  2 As 2.35, 2 Nb 2.48
Ir4 0.6250 0.6044 0.7500  2 As 2.35, 2 Nb 2.48

Values from the calculation:
As for the density of states at the Fermi level: 0.40 states/eV per atom. The space group is I-42d (122). The energy of formation from the pure elements is 80 meV per atom.

***

[4]
KBeOs2: PBEsol geometry, SCAN.

abc: 2.6244 3.9747 7.2621
angles: 90.00 102.24 90.00
Closest atoms and distances in Å follow each position.
Sites, in units of the cell vectors:
K1 0.5000 0.5000 0.5000  2 K 2.62
Os1 0.1494 0.0000 0.8492  2 Be 2.36, 4 Os 2.48-2.62
Os2 0.8506 0.0000 0.1508  2 Be 2.36, 4 Os 2.48-2.62
Be1 0.5000 0.5000 0.0000  4 Os 2.36, 2 Be 2.62

Values from the calculation:
As for the density of states at the Fermi level: 0.88 states/eV per atom. The space group is P2/m (10). The energy of formation from the pure elements is 990 meV per atom.

***

[5]
BTePd2: PBEsol geometry, SCAN.

abc: 4.9030 4.9030 6.9633
angles: 110.61 110.61 90.00
Closest atoms and distances in Å follow each position.
Sites, in units of the cell vectors:
B1 0.5000 0.5000 0.0000  4 Pd 2.06
Te1 0.2500 0.7500 0.5000  4 Pd 2.62
Pd1 0.6250 0.5166 0.7500  2 B 2.06
Te2 0.0000 0.0000 0.0000  4 Pd 2.62
B2 0.7500 0.2500 0.5000  4 Pd 2.06
Pd2 0.1250 0.2334 0.7500  2 B 2.06
Pd3 0.7666 0.3750 0.2500  2 B 2.06
Pd4 0.4834 0.8750 0.2500  2 B 2.06

Values from the calculation:
As for the density of states at the Fermi level: 0.52 states/eV per atom. Its formation energy (no corrections) is 17 kJ/mol of formula units. The space group is I-42d (122).

***

[6]
Ca2B8O15: PBEsol geometry, SCAN.

abc: 6.4468 9.4351 9.8200
angles: 115.52 90.26 99.88
Closest atoms and distances in Å follow each position.
Sites, in units of the cell vectors:
O1 0.9392 0.6684 0.4279  2 B 1.36-1.45
O2 0.2761 0.7436 0.5844  1 B 1.42
O3 0.7239 0.2564 0.4156  1 B 1.42
B1 0.2419 0.0454 0.2151  4 O 1.44-1.50
O4 0.1484 0.8829 0.2022  2 B 1.36-1.50
Ca1 0.5180 0.2024 0.7459  9 O 2.42-2.60
O5 0.8412 0.7007 0.2078  2 B 1.36-1.46
B2 0.4107 0.6022 0.8641  3 O 1.35-1.39
B3 0.2412 0.4606 0.1607  3 O 1.35-1.40
O6 0.2106 0.1045 0.8628  2 B 1.41-1.50
B4 0.2763 0.1721 0.0283  4 O 1.43-1.50
B5 0.7581 0.9546 0.7849  4 O 1.44-1.50
B6 0.1938 0.2469 0.4765  3 O 1.36-1.38
Ca2 0.4820 0.7976 0.2541  9 O 2.42-2.60
O7 0.3979 0.9534 0.5096  1 O 1.51, 1 B 1.53
O8 0.5376 0.9328 0.7302  2 B 1.46-1.47
O9 0.7935 0.4384 0.1927  2 B 1.35-1.49
B7 0.8062 0.7531 0.5235  3 O 1.36-1.38
B8 0.9289 0.6009 0.2642  4 O 1.45-1.49
O10 0.5408 0.4924 0.8422  2 B 1.39-1.40
B9 0.0636 0.1743 0.8181  3 O 1.36-1.41
O11 0.8447 0.6979 0.8893  2 B 1.37-1.50
B10 0.5390 0.1586 0.4291  4 O 1.42-1.53
O12 0.8676 0.8329 0.6770  2 B 1.38-1.48
O13 0.6021 0.0466 0.4904  1 O 1.51, 1 B 1.53
B11 0.9364 0.8257 0.1819  3 O 1.36-1.41
O14 0.7801 0.9583 0.9328  2 B 1.43-1.44
O15 0.4624 0.0672 0.2698  2 B 1.46-1.47
Ca3 0.1619 0.8238 0.8206  6 O 2.28-2.49
O16 0.2065 0.5616 0.8073  2 B 1.35-1.49
B12 0.4610 0.8414 0.5709  4 O 1.42-1.53
O17 0.8516 0.1171 0.7978  2 B 1.36-1.50
O18 0.8556 0.4125 0.7819  2 B 1.35-1.47
B13 0.0711 0.3991 0.7358  4 O 1.45-1.49
O19 0.1444 0.5875 0.2181  2 B 1.35-1.47
O20 0.4592 0.5076 0.1578  2 B 1.39-1.40
B14 0.7237 0.8279 0.9717  4 O 1.43-1.50
O21 0.1588 0.2993 0.7922  2 B 1.36-1.46
O22 0.5075 0.2373 0.0542  2 B 1.37-1.49
O23 0.0608 0.3316 0.5721  2 B 1.36-1.45
O24 0.4925 0.7627 0.9458  2 B 1.37-1.49
O25 0.1553 0.3021 0.1107  2 B 1.37-1.50
B15 0.7588 0.5394 0.8393  3 O 1.35-1.40
B16 0.5893 0.3978 0.1359  3 O 1.35-1.39
O26 0.1324 0.1671 0.3230  2 B 1.38-1.48
O27 0.6118 0.7597 0.4698  2 B 1.38-1.46
O28 0.2199 0.0417 0.0672  2 B 1.43-1.44
O29 0.7894 0.8955 0.1372  2 B 1.41-1.50
O30 0.3882 0.2403 0.5302  2 B 1.38-1.46
Ca4 0.8381 0.1762 0.1794  6 O 2.28-2.49

Values from the calculation:
As for the density of states at the Fermi level: 0.00 states/eV per atom. Its formation energy (no corrections) is -6417 kJ/mol of formula units. The space group is P-1 (2).

***

[7]
FeTc3Cl: PBEsol geometry, SCAN.

abc: 4.4112 4.4112 4.4112
angles: 90.00 90.00 90.00
Closest atoms and distances in Å follow each position.
Sites, in units of the cell vectors:
Cl1 0.5000 0.5000 0.5000  12 Tc 3.12
Tc1 0.0000 0.5000 0.0000  2 Fe 2.21
Fe1 0.0000 0.0000 0.0000  6 Tc 2.21
Tc2 0.5000 0.0000 0.0000  2 Fe 2.21
Tc3 0.0000 0.0000 0.5000  2 Fe 2.21

Values from the calculation:
As for the density of states at the Fermi level: 1.01 states/eV per atom. Its formation energy (no corrections) is 791 kJ/mol of formula units. The space group is Pm-3m (221).

***

[8]
AsOsS2: PBEsol geometry, SCAN.

abc: 2.8839 2.8839 8.9243
angles: 80.70 80.70 60.00
Closest atoms and distances in Å follow each position.
Sites, in units of the cell vectors:
S1 0.0839 0.0839 0.7483  1 Os 2.21
S2 0.9161 0.9161 0.2517  1 Os 2.21
Os1 0.0000 0.0000 0.0000  2 S 2.21
As1 0.5000 0.5000 0.5000  6 S 2.74, 6 As 2.88

Values from the calculation:
As for the density of states at the Fermi level: 0.69 states/eV per atom. Its formation energy (no corrections) is 271 kJ/mol of formula units. The space group is R-3m (166).

***

[9]
Nb2Si2Tc: PBEsol geometry, SCAN.

abc: 3.5380 6.4751 6.4751
angles: 90.00 90.00 90.00
Closest atoms and distances in Å follow each position.
Sites, in units of the cell vectors:
Tc1 0.0000 0.0000 0.0000  4 Si 2.53
Nb1 0.5000 0.6694 0.8306  6 Si 2.54-2.64
Nb2 0.5000 0.1694 0.6694  6 Si 2.54-2.64
Si1 0.0000 0.1317 0.3683  1 Si 2.41, 2 Tc 2.53, 6 Nb 2.54-2.64
Si2 0.0000 0.6317 0.1317  1 Si 2.41, 2 Tc 2.53, 6 Nb 2.54-2.64
Tc2 0.0000 0.5000 0.5000  4 Si 2.53
Si3 0.0000 0.3683 0.8683  1 Si 2.41, 2 Tc 2.53, 6 Nb 2.54-2.64
Si4 0.0000 0.8683 0.6317  1 Si 2.41, 2 Tc 2.53, 6 Nb 2.54-2.64
Nb3 0.5000 0.8306 0.3306  6 Si 2.54-2.64
Nb4 0.5000 0.3306 0.1694  6 Si 2.54-2.64

Values from the calculation:
As for the density of states at the Fermi level: 0.54 states/eV per atom. Its formation energy (no corrections) is -277 kJ/mol of formula units. The space group is P4/mbm (127).

***

[10]
Zr2AlC: PBEsol geometry, SCAN.

abc: 3.2918 3.2918 14.5027
angles: 90.00 90.00 120.00
Closest atoms and distances in Å follow each position.
Sites, in units of the cell vectors:
C1 0.0000 0.0000 0.0000  6 Zr 2.28
Zr1 0.6667 0.3333 0.0866  3 C 2.28
Zr2 0.6667 0.3333 0.4134  3 C 2.28
Al1 0.3333 0.6667 0.2500  6 Zr 3.04, 6 Al 3.29
Zr3 0.3333 0.6667 0.5866  3 C 2.28
C2 0.0000 0.0000 0.5000  6 Zr 2.28
Al2 0.6667 0.3333 0.7500  6 Zr 3.04, 6 Al 3.29
Zr4 0.3333 0.6667 0.9134  3 C 2.28

Values from the calculation:
As for the density of states at the Fermi level: 0.32 states/eV per atom. The space group is P6_3/mmc (194). The energy of formation from the pure elements is -753 meV per atom.

***

[11]
CsMg2Pb2: PBEsol geometry, SCAN.

abc: 5.0940 5.0940 7.2680
angles: 110.51 110.51 90.00
Closest atoms and distances in Å follow each position.
Sites, in units of the cell vectors:
Cs1 0.0000 0.0000 0.0000  8 Pb 3.92, 8 Mg 4.06
Pb1 0.6219 0.6219 0.2438  4 Mg 3.02, 1 Pb 3.08
Mg1 0.2500 0.7500 0.5000  4 Pb 3.02
Mg2 0.7500 0.2500 0.5000  4 Pb 3.02
Pb2 0.3781 0.3781 0.7562  4 Mg 3.02, 1 Pb 3.08

Values from the calculation:
As for the density of states at the Fermi level: 0.37 states/eV per atom. The space group is I4/mmm (139). The energy of formation from the pure elements is -278 meV per atom.

***

[12]
Mg2BeB2Ir5: PBEsol geometry, SCAN.

abc: 2.8714 9.1932 9.1932
angles: 90.00 90.00 90.00
Closest atoms and distances in Å follow each position.
Sites, in units of the cell vectors:
B1 0.0000 0.8702 0.6298  6 Ir 2.16-2.22
Be1 0.0000 0.0000 0.0000  8 Ir 2.46
Mg1 0.0000 0.3241 0.1759  1 B 2.52, 6 Ir 2.70-2.76
Ir1 0.5000 0.7940 0.0689  2 B 2.16
Ir2 0.5000 0.0000 0.5000  4 B 2.22
Ir3 0.5000 0.5000 0.0000  4 B 2.22
B2 0.0000 0.3702 0.8702  6 Ir 2.16-2.22
Ir4 0.5000 0.9311 0.7940  2 B 2.16
Mg2 0.0000 0.1759 0.6759  1 B 2.52, 6 Ir 2.70-2.76
Ir5 0.5000 0.7060 0.5689  2 B 2.16
Ir6 0.5000 0.2060 0.9311  2 B 2.16
Ir7 0.5000 0.5689 0.2940  2 B 2.16
Mg3 0.0000 0.8241 0.3241  1 B 2.52, 6 Ir 2.70-2.76
B3 0.0000 0.6298 0.1298  6 Ir 2.16-2.22
Ir8 0.5000 0.0689 0.2060  2 B 2.16
Ir9 0.5000 0.4311 0.7060  2 B 2.16
Mg4 0.0000 0.6759 0.8241  1 B 2.52, 6 Ir 2.70-2.76
Be2 0.0000 0.5000 0.5000  8 Ir 2.46
B4 0.0000 0.1298 0.3702  6 Ir 2.16-2.22
Ir10 0.5000 0.2940 0.4311  2 B 2.16

Values from the calculation:
As for the density of states at the Fermi level: 0.54 states/eV per atom. The space group is P4/mbm (127). The energy of formation from the pure elements is -642 meV per atom.

***

Copy entry 10 word for word.
Zr2AlC: PBEsol geometry, SCAN.

abc: 3.2918 3.2918 14.5027
angles: 90.00 90.00 120.00
Closest atoms and distances in Å follow each position.
Sites, in units of the cell vectors:
C1 0.0000 0.0000 0.0000  6 Zr 2.28
Zr1 0.6667 0.3333 0.0866  3 C 2.28
Zr2 0.6667 0.3333 0.4134  3 C 2.28
Al1 0.3333 0.6667 0.2500  6 Zr 3.04, 6 Al 3.29
Zr3 0.3333 0.6667 0.5866  3 C 2.28
C2 0.0000 0.0000 0.5000  6 Zr 2.28
Al2 0.6667 0.3333 0.7500  6 Zr 3.04, 6 Al 3.29
Zr4 0.3333 0.6667 0.9134  3 C 2.28

Values from the calculation:
As for the density of states at the Fermi level: 0.32 states/eV per atom. The space group is P6_3/mmc (194). The energy of formation from the pure elements is -753 meV per atom.